Zr3AlH3 (PBE, relaxed); SG = No. 148; V = 200.1 Å³/cell; DFT total energy = -5.9219 eV per atom; relative energy among the computed polymorphs = 132.9 meV per atom; magnetization = 0.0 μB per formula unit
1.0
5.763 0.000 0.000
2.881 4.991 0.000
2.881 1.664 6.955
Zr Al H
6 2 6
Cartesian
3.820 3.361 2.020
6.705 1.628 2.020
6.764 4.993 2.020
4.762 1.662 4.936
4.821 5.027 4.936
7.706 3.293 4.936
5.763 3.327 6.954
5.763 3.327 0.002
6.743 4.951 4.107
6.679 1.667 4.107
3.867 3.364 4.107
7.659 3.290 2.848
4.847 4.988 2.848
4.783 1.704 2.848